Below is a relaxed SiTcBr2 crystal, with properties calculated at the GGA-PBE level.

Cell: 4.8435 4.8435 4.8435 Å, 60.00 60.00 60.00°
Last column: magnetic moment on the atom in μB.
Sites, in units of the cell vectors:
Br  0.0000  0.0000  0.0000  0.02
Br  0.2500  0.2500  0.2500  0.14
Si  0.5000  0.5000  0.5000  -0.07
Tc  0.7500  0.7500  0.7500  2.25

## Properties
Formation energy without anion corrections (kJ/mol of formula units): 381.9
Energy above the lowest structure with this stoichiometry (eV/f.u.): 4.983

---

Below is a relaxed SiTcBr crystal, with properties calculated at the GGA-PBE level.

Cell: 6.7916 6.7916 6.7916 Å, 147.89 154.71 41.31°
Sites, in units of the cell vectors:
Br  0.9695  0.9695  0.0000
Si  0.2506  0.2506  0.0000
Tc  0.7798  0.7798  0.0000

## Properties
Formation energy without anion corrections (kJ/mol of formula units): 53.1
Energy above the lowest structure with this stoichiometry (eV/f.u.): 0.000

---

Below is a relaxed SiTc2Br crystal, with properties calculated at the GGA-PBE level.

Cell: 4.1810 4.1810 7.4543 Å, 63.24 63.24 42.26°
Sites, in units of the cell vectors:
Br  0.2500  0.2500  0.2500
Si  0.7500  0.7500  0.7500
Tc  0.9665  0.9665  0.9096
Tc  0.5335  0.5335  0.5904

## Properties
Formation energy without anion corrections (kJ/mol of formula units): 108.2
Energy above the lowest structure with this stoichiometry (eV/f.u.): 0.591

---

Below is a relaxed SiTc2Br crystal, with properties calculated at the GGA-PBE level.

Cell: 3.0672 3.0672 6.5984 Å, 90.00 90.00 90.00°
Sites, in units of the cell vectors:
Br  0.5000  0.5000  0.2500
Si  0.5000  0.5000  0.7500
Tc  0.0000  0.0000  0.9520
Tc  0.0000  0.0000  0.5480

## Properties
Formation energy without anion corrections (kJ/mol of formula units): 99.5
Energy above the lowest structure with this stoichiometry (eV/f.u.): 0.501

---

Below is a relaxed Si3TcBr crystal, with properties calculated at the GGA-PBE level.

Cell: 4.7151 4.7151 4.7151 Å, 90.00 90.00 90.00°
Sites, in units of the cell vectors:
Si  0.0000  0.5000  0.0000
Si  0.0000  0.0000  0.5000
Si  0.5000  0.0000  0.0000
Tc  0.0000  0.0000  0.0000
Br  0.5000  0.5000  0.5000

## Properties
Formation energy without anion corrections (kJ/mol of formula units): 37.1
Energy above the lowest structure with this stoichiometry (eV/f.u.): 0.000

---

Below is a relaxed SiTcBr2 crystal, with properties calculated at the GGA-PBE level.

Cell: 8.1388 8.1388 8.1388 Å, 157.80 151.78 36.19°
Sites, in units of the cell vectors:
Br  0.8918  0.8918  0.0000
Br  0.6082  0.6082  0.0000
Si  0.2500  0.7500  0.5000
Tc  0.7500  0.2500  0.5000

## Properties
Formation energy without anion corrections (kJ/mol of formula units): 34.2
Energy above the lowest structure with this stoichiometry (eV/f.u.): 1.379

---

Below is a relaxed SiTc4Br crystal, with properties calculated at the GGA-PBE level.

Cell: 5.1943 5.1943 5.1943 Å, 60.00 60.00 60.00°
Sites, in units of the cell vectors:
Si  0.0000  0.0000  0.0000
Tc  0.8750  0.3750  0.3750
Tc  0.3750  0.3750  0.8750
Tc  0.3750  0.8750  0.3750
Tc  0.3750  0.3750  0.3750
Br  0.7500  0.7500  0.7500

## Properties
Formation energy without anion corrections (kJ/mol of formula units): 569.3

---

Below is a relaxed SiTcBr2 crystal, with properties calculated at the GGA-PBE level.

Cell: 5.4660 5.5577 3.4608 Å, 72.09 89.56 119.30°
Last column: magnetic moment on the atom in μB.
Sites, in units of the cell vectors:
Br  0.0000  0.0000  0.0000  0.04
Br  0.5000  0.0000  0.5000  0.04
Si  0.0000  0.5000  0.5000  -0.05
Tc  0.5000  0.5000  0.0000  2.72

## Properties
Formation energy without anion corrections (kJ/mol of formula units): 330.0
Energy above the lowest structure with this stoichiometry (eV/f.u.): 4.445

---

Below is a relaxed SiTcBr crystal, with properties calculated at the GGA-PBE level.

Cell: 4.4821 4.4821 2.9207 Å, 90.00 90.00 120.00°
Sites, in units of the cell vectors:
Br  0.0000  0.0000  0.7999
Si  0.3333  0.6667  0.4610
Tc  0.6667  0.3333  0.7391

## Properties
Formation energy without anion corrections (kJ/mol of formula units): 209.3
Energy above the lowest structure with this stoichiometry (eV/f.u.): 1.619

---

Below is a relaxed VSiTcBr2 crystal, with properties calculated at the GGA-PBE level.

Cell: 4.8939 5.1364 4.8939 Å, 90.00 90.00 90.00°
Last column: magnetic moment on the atom in μB.
Sites, in units of the cell vectors:
Si  0.0000  0.5000  0.0000  -0.17
Tc  0.5000  0.5000  0.5000  3.81
Br  0.0000  0.0000  0.5000  0.04
Br  0.5000  0.0000  0.0000  0.04
V  0.0000  0.0000  0.0000  1.77

## Properties
Formation energy without anion corrections (kJ/mol of formula units): 478.4
Energy above the lowest structure with this stoichiometry (eV/f.u.): 0.000

---

Below is a relaxed VSiTcBr2 crystal, with properties calculated at the GGA-PBE level.

Cell: 5.1074 4.9272 5.1074 Å, 90.00 90.00 90.00°
Last column: magnetic moment on the atom in μB.
Sites, in units of the cell vectors:
Si  0.0000  0.0000  0.0000  -0.04
Tc  0.0000  0.5000  0.0000  2.84
Br  0.0000  0.0000  0.5000  0.13
Br  0.5000  0.0000  0.0000  0.10
V  0.5000  0.5000  0.5000  -3.10

## Properties
Formation energy without anion corrections (kJ/mol of formula units): 581.4
Energy above the lowest structure with this stoichiometry (eV/f.u.): 1.068

---

Below is a relaxed YSiTcBr2 crystal, with properties calculated at the GGA-PBE level.

Cell: 5.0483 5.8266 5.0483 Å, 90.00 90.00 90.00°
Last column: magnetic moment on the atom in μB.
Sites, in units of the cell vectors:
Y  0.0000  0.5000  0.0000  -0.15
Si  0.0000  0.0000  0.0000  0.01
Tc  0.5000  0.5000  0.5000  3.27
Br  0.0000  0.0000  0.5000  0.05
Br  0.5000  0.0000  0.0000  0.04

## Properties
Formation energy without anion corrections (kJ/mol of formula units): 389.4